VASP calculation (SCAN) on a crystal of LaSc2Si2 relaxed with PBEsol.

abc: 4.3022 4.3022 11.8082
angles: 90.00 90.00 90.00
Space group I4/mmm (No. 139)
Unique sites:
La1 0.0000 0.0000 0.0000 (multiplicity 2)
Sc1 0.0000 0.5000 0.2500 (multiplicity 4)
Si1 0.0000 0.0000 0.3972 (multiplicity 4)

## Properties
The formation energy from raw total energies is -0.736 eV/atom. The value obtained for the magnetic moment is 0.80 μB/cell. For the uncorrected energy, the calculation gives -19.058 eV/atom. The value obtained for the volume is 21.9 A^3/atom.